1.
A plane-wave DFT calculation with GGA-PBE was carried out for a relaxed K2UInSe5 crystal.

Summary:
- E (eV per atom) = -4.7578
- total magnetization (μB per formula unit) = 1.01
- E_form (uncorrected) (meV/atom) = -1019.6

Lattice parameters (Å, degrees): 4.240 9.875 14.383 90.00 90.00 102.40
Last column: magnetic moment on the atom in μB.
Element x y z (fractional)
1 Se 0.061 0.123 0.045  -0.03
2 K 0.107 0.214 0.675  0.00
3 K 0.874 0.749 0.822  0.00
4 In 0.561 0.121 0.929  0.00
5 Se 0.701 0.401 0.895  -0.05
6 Se 0.655 0.309 0.505  -0.08
7 K 0.893 0.786 0.175  0.00
8 Se 0.711 0.423 0.151  -0.06
9 U 0.212 0.423 0.027  1.31
10 Se 0.289 0.577 0.651  -0.06
11 Se 0.500 0.000 0.777  -0.01
12 Se 0.345 0.691 0.005  -0.08
13 Se 0.939 0.877 0.545  -0.03
14 Se 0.500 0.000 0.277  -0.01
15 Se 0.299 0.599 0.395  -0.05
16 U 0.788 0.577 0.527  1.31
17 In 0.439 0.879 0.429  0.00
18 K 0.126 0.251 0.322  0.00

---

2.
A plane-wave DFT calculation with GGA-PBE was carried out for a relaxed HoMn2Ge3 crystal.

Summary:
- E (eV per atom) = -6.4340
- formation energy (eV per atom) = -0.306
- total magnetization (μB per formula unit) = 1.24

Lattice parameters (Å, degrees): 4.167 6.436 8.178 90.00 90.00 108.89
Last column: magnetic moment on the atom in μB.
Element x y z (fractional)
1 Mn 0.528 0.056 0.750  -1.68
2 Ge 0.617 0.234 0.030  0.01
3 Mn 0.000 0.000 0.000  2.74
4 Ho 0.205 0.409 0.250  0.04
5 Ge 0.383 0.766 0.970  0.01
6 Ge 0.617 0.234 0.470  0.01
7 Ge 0.875 0.750 0.250  0.02
8 Mn 0.000 0.000 0.500  2.74
9 Ge 0.383 0.766 0.530  0.01
10 Mn 0.472 0.944 0.250  -1.68
11 Ge 0.125 0.250 0.750  0.02
12 Ho 0.795 0.591 0.750  0.04

---

3.
A plane-wave DFT calculation with GGA-PBE was carried out for a relaxed Er2GaSiGe crystal.

Summary:
- E (eV per atom) = -4.9518
- total magnetization (μB per formula unit) = 0.00
- E_form (uncorrected) (meV/atom) = -513.2

Lattice parameters (Å, degrees): 3.980 7.179 8.389 109.83 90.00 90.00
Element x y z (fractional)
1 Si 0.750 0.285 0.706
2 Ga 0.250 0.506 0.724
3 Er 0.750 0.841 0.591
4 Ge 0.750 0.143 0.166
5 Si 0.250 0.715 0.294
6 Er 0.750 0.733 0.031
7 Ga 0.750 0.494 0.276
8 Ge 0.250 0.857 0.834
9 Er 0.250 0.159 0.409
10 Er 0.250 0.267 0.969